VASP calculation (PBE) on a relaxed AgRu2 crystal.

Cell and atoms, written as POSCAR:
```
AgRu2
1.0
4.464 0.000 0.000
-2.232 3.866 0.000
0.000 0.000 5.330
Ag Ru
2 4
Direct
0.333 0.667 0.250 Ag
0.667 0.333 0.750 Ag
0.000 0.000 0.000 Ru
0.000 0.000 0.500 Ru
0.333 0.667 0.750 Ru
0.667 0.333 0.250 Ru
```

Computed properties:
size of the total moment	0.336	μB/f.u.
energy relative to the elements	0.87	eV per atom
energy relative to the lowest polymorph listed for this composition	577	meV per atom
space group	P6_3/mmc